[1]
# Be2TlBr

Crystalline Be2TlBr at its relaxed geometry (PBE, Alexandria via LeMat-Bulk).

Geometry as POSCAR:
```
Be2TlBr
1.0
0.000 3.611 3.611
3.611 0.000 3.611
3.611 3.611 0.000
Be Tl Br
2 1 1
Cartesian
0.000 0.000 0.000
1.806 1.806 1.806
3.611 3.611 3.611
5.417 5.417 5.417
```

DOS(E_F) (states/eV per atom): 0.290
Excess energy over the best structure of this formula in the dataset (eV per atom): 0.711
Space group: F-43m, No. 216
Energy relative to the elements, uncorrected (meV/atom): 1041

---

[2]
# CsIn4Pt

Crystalline CsIn4Pt at its relaxed geometry (PBE, Alexandria via LeMat-Bulk).

Geometry as POSCAR:
```
CsIn4Pt
1.0
2.648 -9.513 0.000
2.648 9.513 0.000
0.000 0.000 7.353
Cs In Pt
2 8 2
Cartesian
2.648 7.664 5.515
2.648 -7.664 1.838
2.648 6.944 1.838
2.648 4.010 3.726
2.648 4.010 7.303
2.648 0.000 0.000
2.648 0.000 3.677
2.648 -4.010 0.050
2.648 -4.010 3.627
2.648 -6.944 5.515
2.648 1.864 5.515
2.648 -1.864 1.838
```

DOS(E_F) (states/eV per atom): 0.282
DFT formation energy (eV per atom): -0.1984
Space group: Cmcm, No. 63

---

[3]
# Pu2ScTe2O2

Crystalline Pu2ScTe2O2 at its relaxed geometry (PBE, Alexandria via LeMat-Bulk).

Geometry as POSCAR:
```
Pu2ScTe2O2
1.0
-2.103 2.103 8.134
2.103 -2.103 8.134
2.103 2.103 -8.134
Pu Sc Te O
2 1 2 2
Cartesian
0.000 0.000 1.712
0.000 0.000 14.555
0.000 0.000 8.134
0.000 0.000 5.192
0.000 0.000 11.076
2.103 0.000 0.000
0.000 2.103 0.000
```

DOS(E_F) (states/eV per atom): 2.266
Space group: I4/mmm, No. 139
Energy relative to the elements, uncorrected (meV/atom): -2071

---

[4]
# Tm6Si2Hg

Crystalline Tm6Si2Hg at its relaxed geometry (PBE, Alexandria via LeMat-Bulk).

Geometry as POSCAR:
```
Tm6Si2Hg
1.0
-4.704 4.717 5.041
4.704 -4.717 5.041
4.704 4.717 -5.041
Tm Si Hg
12 4 2
Cartesian
4.704 -2.791 3.258
2.821 0.000 2.487
6.588 0.000 2.487
2.997 2.573 0.000
6.412 2.573 0.000
0.000 1.926 1.783
4.704 2.791 3.258
-1.707 2.144 5.041
1.707 2.144 5.041
-1.883 4.717 2.554
1.883 4.717 2.554
0.000 7.508 1.783
1.316 0.000 0.000
8.093 0.000 0.000
0.000 0.000 3.845
0.000 0.000 6.237
4.704 0.000 0.000
0.000 4.717 0.000
```

DOS(E_F) (states/eV per atom): 0.758
Space group: Immm, No. 71
Energy relative to the elements, uncorrected (meV/atom): -523

---

[5]
# La2Ni2Os

Crystalline La2Ni2Os at its relaxed geometry (PBE, Alexandria via LeMat-Bulk).

Geometry as POSCAR:
```
La2Ni2Os
1.0
6.961 0.000 0.000
0.000 6.961 0.000
0.000 0.000 4.119
La Ni Os
4 4 2
Cartesian
1.312 2.168 0.000
2.168 5.649 0.000
4.792 1.312 0.000
5.649 4.792 0.000
0.860 4.341 2.059
2.620 0.860 2.059
4.341 6.100 2.059
6.100 2.620 2.059
0.000 0.000 2.059
3.480 3.480 2.059
```

DOS(E_F) (states/eV per atom): 1.022
DFT formation energy (eV per atom): -0.0442
Space group: P4/mbm, No. 127

---

[6]
# Be2CuMo2

Crystalline Be2CuMo2 at its relaxed geometry (PBE, Alexandria via LeMat-Bulk).

Geometry as POSCAR:
```
Be2CuMo2
1.0
5.910 0.000 0.000
0.000 5.910 0.000
0.000 0.000 3.357
Be Cu Mo
4 2 4
Cartesian
0.714 2.241 0.000
2.241 5.196 0.000
3.669 0.714 0.000
5.196 3.669 0.000
0.000 0.000 0.000
2.955 2.955 0.000
1.054 4.009 1.678
1.900 1.054 1.678
4.009 4.855 1.678
4.855 1.900 1.678
```

DOS(E_F) (states/eV per atom): 0.616
DFT formation energy (eV per atom): -0.0045
Space group: P4/mbm, No. 127

---

[7]
# SrZrCl2

Crystalline SrZrCl2 at its relaxed geometry (PBE, Alexandria via LeMat-Bulk).

Geometry as POSCAR:
```
SrZrCl2
1.0
-1.971 1.971 6.988
1.971 -1.971 6.988
1.971 1.971 -6.988
Sr Zr Cl
1 1 2
Cartesian
0.000 0.000 0.000
1.971 0.000 3.494
0.000 0.000 6.988
0.000 1.971 3.494
```

DOS(E_F) (states/eV per atom): 0.841
Excess energy over the best structure of this formula in the dataset (eV per atom): 0.396
Space group: I-4m2, No. 119
Energy relative to the elements, uncorrected (meV/atom): -729

---

[8]
# Zr3NbTc

Crystalline Zr3NbTc at its relaxed geometry (PBE, Alexandria via LeMat-Bulk).

Geometry as POSCAR:
```
Zr3NbTc
1.0
4.954 0.000 0.000
0.000 4.954 0.000
0.000 0.000 4.954
Zr Nb Tc
3 1 1
Cartesian
0.000 0.000 2.477
0.000 2.477 0.000
2.477 0.000 0.000
2.477 2.477 2.477
0.000 0.000 0.000
```

DOS(E_F) (states/eV per atom): 1.234
DFT formation energy (eV per atom): 0.7244
Excess energy over the best structure of this formula in the dataset (eV per atom): 0.774
Space group: Pm-3m, No. 221

---

[9]
# NbBr

Crystalline NbBr at its relaxed geometry (PBE, Alexandria via LeMat-Bulk).

Geometry as POSCAR:
```
NbBr
1.0
8.692 0.000 0.000
0.000 3.470 0.000
0.000 0.000 9.305
Nb Br
6 6
Cartesian
0.000 0.392 0.000
1.390 2.175 1.509
2.956 1.295 6.162
4.346 3.078 4.653
5.736 1.295 6.162
7.302 2.175 1.509
0.000 1.968 7.047
1.678 2.922 4.272
2.668 0.548 8.925
4.346 1.501 2.394
6.024 0.548 8.925
7.013 2.922 4.272
```

DOS(E_F) (states/eV per atom): 0.372
Space group: Pmn2_1, No. 31
Energy relative to the elements, uncorrected (meV/atom): -120

---

[10]
# Ba2OsAuO6

Crystalline Ba2OsAuO6 at its relaxed geometry (PBE, Alexandria via LeMat-Bulk).

Geometry as POSCAR:
```
Ba2OsAuO6
1.0
6.082 0.000 0.000
-2.043 5.918 0.000
-2.145 -2.695 5.330
Ba Os Au O
2 1 1 6
Cartesian
-1.014 1.178 1.131
2.908 2.046 4.200
2.020 2.959 0.000
1.968 -1.347 2.665
-0.949 -1.384 5.010
-0.819 0.946 3.731
0.338 3.558 0.938
1.556 -0.335 4.392
2.714 2.277 1.600
2.843 4.607 0.320
```

DOS(E_F) (states/eV per atom): 0.306
Space group: P-1, No. 2
Energy relative to the elements, uncorrected (meV/atom): -1596

---

[11]
# ScCr6

Crystalline ScCr6 at its relaxed geometry (PBE, Alexandria via LeMat-Bulk).

Geometry as POSCAR:
```
ScCr6
1.0
-3.090 3.090 3.090
3.090 -3.090 3.090
3.090 3.090 -3.090
Sc Cr
1 6
Cartesian
0.000 0.000 0.000
3.090 1.545 0.000
3.090 0.000 1.545
1.545 3.090 0.000
1.545 0.000 3.090
0.000 3.090 1.545
0.000 1.545 3.090
```

DOS(E_F) (states/eV per atom): 1.788
DFT formation energy (eV per atom): 1.3888
Space group: Im-3m, No. 229

---

[12]
# RbLiI2N

Crystalline RbLiI2N at its relaxed geometry (PBE, Alexandria via LeMat-Bulk).

Geometry as POSCAR:
```
RbLiI2N
1.0
6.849 0.000 0.000
0.000 6.849 0.000
0.000 0.000 5.561
Rb Li I N
1 1 2 1
Cartesian
0.000 0.000 0.000
3.425 3.425 2.780
0.000 3.425 0.000
3.425 0.000 0.000
0.000 0.000 2.780
```

DOS(E_F) (states/eV per atom): 0.655
Excess energy over the best structure of this formula in the dataset (eV per atom): 0.459
Space group: P4/mmm, No. 123
Energy relative to the elements, uncorrected (meV/atom): 405

---

[13]
# ReSn2BN

Crystalline ReSn2BN at its relaxed geometry (PBE, Alexandria via LeMat-Bulk).

Geometry as POSCAR:
```
ReSn2BN
1.0
5.280 0.000 0.000
0.000 5.280 0.000
0.000 0.000 2.798
Re Sn B N
1 2 1 1
Cartesian
0.000 0.000 0.000
0.000 2.640 1.399
2.640 0.000 1.399
2.640 2.640 0.000
2.640 2.640 1.399
```

DOS(E_F) (states/eV per atom): 0.619
Space group: P4/mmm, No. 123
Energy relative to the elements, uncorrected (meV/atom): 566

---

[14]
# Ce3SmRu

Crystalline Ce3SmRu at its relaxed geometry (PBE, Alexandria via LeMat-Bulk).

Geometry as POSCAR:
```
Ce3SmRu
1.0
5.403 0.000 0.000
0.000 5.403 0.000
0.000 0.000 5.403
Ce Sm Ru
3 1 1
Cartesian
0.000 0.000 2.701
0.000 2.701 0.000
2.701 0.000 0.000
2.701 2.701 2.701
0.000 0.000 0.000
```

DOS(E_F) (states/eV per atom): 3.337
DFT formation energy (eV per atom): 0.0185
Space group: Pm-3m, No. 221

---

[15]
# Ta2FeHg

Crystalline Ta2FeHg at its relaxed geometry (PBE, Alexandria via LeMat-Bulk).

Geometry as POSCAR:
```
Ta2FeHg
1.0
3.095 0.000 0.000
0.000 3.095 0.000
0.000 0.000 7.173
Ta Fe Hg
2 1 1
Cartesian
0.000 0.000 0.000
1.548 1.548 1.965
0.000 0.000 3.212
1.548 1.548 5.064
```

DOS(E_F) (states/eV per atom): 0.493
DFT formation energy (eV per atom): 0.1679
Space group: P4mm, No. 99

---

[16]
# KMnOs2

Crystalline KMnOs2 at its relaxed geometry (PBE, Alexandria via LeMat-Bulk).

Geometry as POSCAR:
```
KMnOs2
1.0
2.642 0.000 0.000
0.000 3.543 0.000
-0.028 0.000 8.123
K Mn Os
1 1 2
Cartesian
0.000 0.000 0.000
-0.014 0.000 4.061
1.306 1.771 2.793
1.308 1.771 5.330
```

DOS(E_F) (states/eV per atom): 0.941
DFT formation energy (eV per atom): 0.8736
Excess energy over the best structure of this formula in the dataset (eV per atom): 0.158
Space group: P2/m, No. 10

---

[17]
# ZnCu7Si2

Crystalline ZnCu7Si2 at its relaxed geometry (PBE, Alexandria via LeMat-Bulk).

Geometry as POSCAR:
```
ZnCu7Si2
1.0
-2.007 2.007 8.390
2.007 -2.007 8.390
2.007 2.007 -8.390
Zn Cu Si
1 7 2
Cartesian
0.000 0.000 0.000
2.007 0.000 1.585
2.007 0.000 4.195
2.007 0.000 6.806
0.000 0.000 8.390
0.000 2.007 1.585
0.000 2.007 4.195
0.000 2.007 6.806
0.000 0.000 5.562
0.000 0.000 11.218
```

DOS(E_F) (states/eV per atom): 0.256
Excess energy over the best structure of this formula in the dataset (eV per atom): 0.000
Space group: I4/mmm, No. 139
Energy relative to the elements, uncorrected (meV/atom): -3

---

[18]
# SrNbAu

Crystalline SrNbAu at its relaxed geometry (PBE, Alexandria via LeMat-Bulk).

Geometry as POSCAR:
```
SrNbAu
1.0
5.037 0.000 0.000
-2.518 4.362 0.000
0.000 0.000 13.057
Sr Nb Au
2 2 2
Cartesian
0.000 0.000 3.264
0.000 0.000 9.792
0.000 0.000 0.000
0.000 0.000 6.528
0.000 2.908 3.264
2.518 1.454 9.792
```

DOS(E_F) (states/eV per atom): 1.473
DFT formation energy (eV per atom): 1.7954
Excess energy over the best structure of this formula in the dataset (eV per atom): 1.931
Space group: P6_3/mmc, No. 194

---

[19]
# CePaN

Crystalline CePaN at its relaxed geometry (PBE, Alexandria via LeMat-Bulk).

Geometry as POSCAR:
```
CePaN
1.0
3.539 0.000 0.000
-1.769 3.065 0.000
0.000 0.000 4.816
Ce Pa N
1 1 1
Cartesian
0.000 0.000 0.000
1.769 1.022 1.896
0.000 2.043 3.225
```

DOS(E_F) (states/eV per atom): 2.041
Excess energy over the best structure of this formula in the dataset (eV per atom): 0.000
Space group: P3m1, No. 156
Energy relative to the elements, uncorrected (meV/atom): -683

---

[20]
# La2AlHgN

Crystalline La2AlHgN at its relaxed geometry (PBE, Alexandria via LeMat-Bulk).

Geometry as POSCAR:
```
La2AlHgN
1.0
5.331 0.000 0.000
0.000 5.331 0.000
0.000 0.000 3.991
La Al Hg N
2 1 1 1
Cartesian
0.000 2.666 0.000
2.666 0.000 0.000
0.000 0.000 1.996
2.666 2.666 1.996
0.000 0.000 0.000
```

DOS(E_F) (states/eV per atom): 0.940
Space group: P4/mmm, No. 123
Energy relative to the elements, uncorrected (meV/atom): -699